Material: Ac2Ge4Ir3Rh
Method: DFT, PBE
State: relaxed

Values from the calculation:
Space-group type: P-4m2
ΔE_f (eV per atom): -0.776

Cell and atoms, written as POSCAR:
```
Ac2Ge4Ir3Rh
1.0
4.384 0.000 0.000
0.000 4.384 0.000
0.000 0.000 10.318
Ge Ir Ac Rh
4 3 2 1
Direct
0.500 0.000 0.627
0.000 0.000 0.000
0.500 0.500 0.000
0.000 0.500 0.373
0.500 0.000 0.874
0.000 0.500 0.126
0.000 0.000 0.500
0.000 0.500 0.755
0.500 0.000 0.245
0.500 0.500 0.500
```



Material: Ac2Ge3IrRh4
Method: DFT, PBE
State: relaxed

Values from the calculation:
Space-group type: P-4m2
ΔE_f (eV per atom): -0.710

Cell and atoms, written as POSCAR:
```
Ac2Ge3IrRh4
1.0
-2.297 3.451 -1.359
-1.105 -2.162 -3.624
-8.418 -3.719 4.786
Rh Ac Ge Ir
4 2 3 1
Direct
0.500 0.000 0.630
0.000 0.000 0.000
0.000 0.500 0.370
0.500 0.500 0.000
0.000 0.500 0.748
0.500 0.000 0.252
0.500 0.000 0.874
0.000 0.000 0.500
0.000 0.500 0.126
0.500 0.500 0.500
```



Material: Ac2Ge4IrRh3
Method: DFT, PBE
State: relaxed

Values from the calculation:
Space-group type: P-4m2
ΔE_f (eV per atom): -0.816

Cell and atoms, written as POSCAR:
```
Ac2Ge4IrRh3
1.0
4.361 0.000 0.000
0.000 4.361 0.000
0.000 0.000 10.385
Ge Rh Ir Ac
4 3 1 2
Direct
0.500 0.500 0.000
0.500 0.000 0.626
0.000 0.000 0.000
0.000 0.500 0.374
0.500 0.000 0.874
0.000 0.500 0.126
0.000 0.000 0.500
0.500 0.500 0.500
0.500 0.000 0.245
0.000 0.500 0.755
```



Number 1: total magnetic moment 0.000 Bohr magnetons per cell. Number 2: total magnetic moment 0.000 Bohr magnetons per cell. Number 3: total magnetic moment 0.000 Bohr magnetons per cell.